A plane-wave DFT calculation with PBE-GGA was carried out for a relaxed structure of Nd15SmDy4.

Geometry as POSCAR:
```
Nd15SmDy4
1.0
5.169 0.000 0.000
0.000 5.169 0.000
0.000 0.000 25.743
Nd Sm Dy
15 1 4
direct
0.500 0.500 0.000
0.500 0.500 0.201
0.500 0.500 0.400
0.500 0.500 0.600
0.500 0.500 0.799
0.500 0.000 0.101
0.500 0.000 0.300
0.500 0.000 0.500
0.500 0.000 0.700
0.500 0.000 0.899
0.000 0.500 0.101
0.000 0.500 0.300
0.000 0.500 0.500
0.000 0.500 0.700
0.000 0.500 0.899
0.000 0.000 0.000
0.000 0.000 0.201
0.000 0.000 0.400
0.000 0.000 0.600
0.000 0.000 0.799
```

Results
Crystal system: tetragonal
Space-group type: P4/mmm, No. 123
ΔE_f in eV/atom: 0.012
DOS(E_F) in states/eV/cell: 28.05

---

A plane-wave DFT calculation with PBE-GGA was carried out for a relaxed structure of TcBiIN2.

Geometry as POSCAR:
```
TcBiIN2
1.0
4.140 0.000 0.000
0.000 4.140 0.000
0.000 0.000 5.470
I N Bi Tc
1 2 1 1
direct
0.000 0.000 0.500
0.000 0.500 0.000
0.500 0.000 0.000
0.500 0.500 0.500
0.000 0.000 0.000
```

Results
Crystal system: tetragonal
Space-group type: P4/mmm, No. 123
Energy relative to the lowest polymorph listed for this composition in meV per atom: 0
DOS(E_F) in states/eV/cell: 3.51

---

A plane-wave DFT calculation with PBE-GGA was carried out for a relaxed structure of HoBe4Au12.

Geometry as POSCAR:
```
HoBe4Au12
1.0
-1.328 -6.778 2.392
7.179 0.834 -1.095
-2.282 4.834 4.985
Ho Be Au
1 4 12
direct
0.000 0.000 0.000
0.000 0.500 0.000
0.500 0.000 0.000
0.500 0.500 0.500
0.000 0.000 0.500
0.831 0.330 0.161
0.330 0.500 0.169
0.839 0.169 0.670
0.330 0.161 0.831
0.161 0.831 0.330
0.670 0.500 0.831
0.500 0.169 0.330
0.500 0.831 0.670
0.670 0.839 0.169
0.831 0.670 0.500
0.169 0.330 0.500
0.169 0.670 0.839
```

Results
Crystal system: cubic
Space-group type: Im-3, No. 204
ΔE_f in eV/atom: -0.121
DOS(E_F) in states/eV/cell: 6.20

---

A plane-wave DFT calculation with PBE-GGA was carried out for a relaxed structure of CuTcB.

Geometry as POSCAR:
```
CuTcB
1.0
4.606 0.000 0.000
2.303 3.676 0.000
2.303 0.000 3.808
B Cu Tc
2 2 2
direct
0.750 0.500 0.500
0.250 0.500 0.500
0.831 0.338 0.000
0.169 0.662 0.000
0.664 0.000 0.673
0.336 0.000 0.327
```

Results
Crystal system: orthorhombic
Space-group type: Fmmm, No. 69
ΔE_f in eV/atom: 0.000
Energy relative to the lowest polymorph listed for this composition in meV per atom: 94
DOS(E_F) in states/eV/cell: 3.26

---

A plane-wave DFT calculation with PBE-GGA was carried out for a relaxed structure of BaPmRh2.

Geometry as POSCAR:
```
BaPmRh2
1.0
3.582 0.000 0.000
0.000 3.582 0.000
0.000 0.000 7.628
Rh Ba Pm
2 1 1
direct
0.000 0.000 0.793
0.000 0.000 0.207
0.500 0.500 0.500
0.500 0.500 0.000
```

Results
Crystal system: tetragonal
Space-group type: P4/mmm, No. 123
ΔE_f in eV/atom: -0.330
Energy relative to the lowest polymorph listed for this composition in meV per atom: 0
DOS(E_F) in states/eV/cell: 2.93

---

A plane-wave DFT calculation with PBE-GGA was carried out for a relaxed structure of Ta2CoSe.

Geometry as POSCAR:
```
Ta2CoSe
1.0
3.679 0.000 0.000
0.000 3.040 0.012
0.000 1.834 5.712
Co Se Ta
1 1 2
direct
0.500 0.250 0.250
0.500 0.750 0.750
0.000 0.993 0.020
0.000 0.507 0.480
```

Results
Crystal system: monoclinic
Space-group type: P2/m, No. 10
DOS(E_F) in states/eV/cell: 2.37
Energy in eV/atom: -8.55

---

A plane-wave DFT calculation with PBE-GGA was carried out for a relaxed structure of NaSi3I.

Geometry as POSCAR:
```
NaSi3I
1.0
-4.249 2.518 -1.493
-2.926 -3.554 2.332
0.110 2.767 4.354
I Na Si
1 1 3
direct
0.500 0.500 0.500
0.000 0.000 0.000
0.000 0.500 0.000
0.000 0.000 0.500
0.500 0.000 0.000
```

Results
Crystal system: cubic
Space-group type: Pm-3m, No. 221
Energy relative to the lowest polymorph listed for this composition in meV per atom: 150
DOS(E_F) in states/eV/cell: 5.03

---

A plane-wave DFT calculation with PBE-GGA was carried out for a relaxed structure of CePaTe4.

Geometry as POSCAR:
```
CePaTe4
1.0
-1.318 2.804 -3.211
-7.354 -2.310 1.001
0.349 11.114 9.561
Ce Pa Te
2 2 8
direct
0.000 0.500 0.500
0.500 0.500 0.000
0.500 0.000 0.500
0.000 0.000 0.000
0.500 0.646 0.381
0.000 0.354 0.119
0.500 0.354 0.619
0.000 0.646 0.881
0.000 0.117 0.382
0.500 0.883 0.118
0.000 0.883 0.618
0.500 0.117 0.882
```

Results
Crystal system: monoclinic
Space-group type: C2/m, No. 12
Energy relative to the lowest polymorph listed for this composition in meV per atom: 0
DOS(E_F) in states/eV/cell: 17.11

---

> The lowest DOS(E_F) belongs to which entry?

Ta2CoSe